Record 1
Pm2ZnS4 after structural relaxation, computed with GGA-PBE.

a = 6.5181 Å, b = 6.6733 Å, c = 7.7314 Å
α = 90.00°, β = 107.44°, γ = 90.00°
Element x y z (fractional)
Pm: 0.2192 0.2500 0.0558
Pm: 0.2358 0.2500 0.5586
Pm: 0.7642 0.7500 0.4414
Pm: 0.7808 0.7500 0.9442
Zn: 0.2506 0.7500 0.8109
Zn: 0.7494 0.2500 0.1891
S: 0.0052 0.5067 0.2541
S: 0.0052 0.9933 0.2541
S: 0.4526 0.7500 0.6140
S: 0.4544 0.7500 0.1107
S: 0.5456 0.2500 0.8893
S: 0.5474 0.2500 0.3860
S: 0.9948 0.0067 0.7459
S: 0.9948 0.4933 0.7459

* formation energy (no corrections): -1588 meV/atom
* DFT total energy: -76.81 eV for the cell shown


Record 2
Ho5Cd2Si2 after structural relaxation, computed with GGA-PBE.

a = 8.8899 Å, b = 8.8899 Å, c = 7.4838 Å
α = 90.00°, β = 90.00°, γ = 49.74°
Element x y z (fractional)
Ho: 0.0000 0.0000 0.0000
Ho: 0.0591 0.6927 0.6792
Ho: 0.1927 0.5591 0.1792
Ho: 0.3073 0.9409 0.6792
Ho: 0.4409 0.8073 0.1792
Ho: 0.5000 0.5000 0.5000
Ho: 0.5591 0.1927 0.8208
Ho: 0.6927 0.0591 0.3208
Ho: 0.8073 0.4409 0.8208
Ho: 0.9409 0.3073 0.3208
Cd: 0.2216 0.2216 0.0000
Cd: 0.2784 0.2784 0.5000
Cd: 0.7216 0.7216 0.5000
Cd: 0.7784 0.7784 0.0000
Si: 0.1180 0.8820 0.3804
Si: 0.3820 0.6180 0.8804
Si: 0.6180 0.3820 0.1196
Si: 0.8820 0.1180 0.6196

* formation energy (no corrections): -504 meV/atom
* DFT total energy: -80.20 eV for the cell shown


Record 3
Tb7HoSc3 after structural relaxation, computed with GGA-PBE.

a = 8.2004 Å, b = 8.2004 Å, c = 8.2004 Å
α = 139.25°, β = 99.14°, γ = 94.80°
Element x y z (fractional)
Tb: 0.0000 0.0000 0.0000
Tb: 0.1031 0.7924 0.3106
Tb: 0.3041 0.5000 0.8041
Tb: 0.4818 0.7924 0.6894
Tb: 0.5182 0.2076 0.3106
Tb: 0.6959 0.5000 0.1959
Tb: 0.8969 0.2076 0.6894
Ho: 0.0000 0.5000 0.5000
Sc: 0.2879 0.2879 0.0000
Sc: 0.5000 0.0000 0.5000
Sc: 0.7121 0.7121 0.0000

* ΔH_f (0 K): 262 meV per atom
* DFT total energy: -53.10 eV for the cell shown


Record 4
Sr2ScMn after structural relaxation, computed with GGA-PBE.

a = 11.5007 Å, b = 11.5007 Å, c = 4.8750 Å
α = 90.00°, β = 90.00°, γ = 90.00°
Element x y z (fractional)
Sr: 0.0969 0.2500 0.1250
Sr: 0.2500 0.5969 0.3750
Sr: 0.2500 0.9031 0.8750
Sr: 0.4031 0.2500 0.6250
Sr: 0.5969 0.7500 0.6250
Sr: 0.7500 0.0969 0.8750
Sr: 0.7500 0.4031 0.3750
Sr: 0.9031 0.7500 0.1250
Sc: 0.0000 0.0000 0.5000
Sc: 0.0000 0.5000 0.7500
Sc: 0.5000 0.0000 0.2500
Sc: 0.5000 0.5000 0.0000
Mn: 0.0000 0.0000 0.0000
Mn: 0.0000 0.5000 0.2500
Mn: 0.5000 0.0000 0.7500
Mn: 0.5000 0.5000 0.5000

* excess energy over the best structure of this formula in the dataset: 0.3461 eV/atom
* ΔH_f (0 K): 640 meV per atom
* DFT total energy: -65.22 eV for the cell shown


Record 5
LiZnSnO4 after structural relaxation, computed with GGA-PBE.

a = 6.1527 Å, b = 6.1527 Å, c = 6.1527 Å
α = 123.03°, β = 117.26°, γ = 89.82°
Element x y z (fractional)
Li: 0.5000 0.0000 0.0000
Li: 0.5000 0.5000 0.5000
Zn: 0.1151 0.3651 0.7500
Zn: 0.8849 0.6349 0.2500
Sn: 0.0000 0.0000 0.0000
Sn: 0.5000 0.0000 0.5000
O: 0.2442 0.2385 0.0057
O: 0.2567 0.2406 0.4839
O: 0.2567 0.7728 0.0161
O: 0.2672 0.7615 0.5057
O: 0.7328 0.2385 0.4943
O: 0.7433 0.2272 0.9839
O: 0.7433 0.7594 0.5161
O: 0.7558 0.7615 0.9943

* formation energy (no corrections): -1422 meV/atom
* DFT total energy: -73.96 eV for the cell shown


Question: DFT total energy of number 3 (Tb7HoSc3)?
Answer: -53.10 eV for the cell shown